The following is a GGA-PBE calculation of a relaxed structure of Fe2PPb, from Alexandria via LeMat-Bulk.

Output
Crystal system   tetragonal
Formation energy from the elements   0.58 eV/atom
Total DFT energy (no corrections)   -0.2180 Ha/atom

a b c (Å): 4.3428 4.3428 3.2926
angles (deg): 90.00 90.00 90.00
Space group P4/mmm (No. 123)
Inequivalent atoms, fractional coordinates:
Fe: 0.0000 0.5000 0.0000 (multiplicity 2)
P: 0.0000 0.0000 0.5000 (multiplicity 1)
Pb: 0.5000 0.5000 0.5000 (multiplicity 1)